[1]
CoGe3Br: PBEsol geometry, SCAN.

Output
**ΔE_f (raw)**: 0.149 eV per atom
**Calculated total energy**: -18.66 eV per atom
**V**: 94 Å³/f.u.
**Space-group type**: Pm-3m

Cell lengths 4.546, 4.546, 4.546 Å; angles 90.00, 90.00, 90.00 degrees
Atoms (fractional coordinates):
1 Co 0.000 0.000 0.000
2 Ge 0.000 0.000 0.500
3 Ge 0.000 0.500 0.000
4 Ge 0.500 0.000 0.000
5 Br 0.500 0.500 0.500

[2]
ZnAgAu2: PBEsol geometry, SCAN.

Output
**Calculated total energy**: -45.95 eV per atom
**V**: 64 Å³/f.u.
**Formation energy from the elements**: -3.45 kcal/mol of atoms
**Space-group type**: Immm

Cell lengths 5.086, 5.086, 5.086 Å; angles 139.41, 130.30, 66.04 degrees
Atoms (fractional coordinates):
1 Zn 0.000 0.000 0.000
2 Ag 0.500 0.500 0.000
3 Au 0.231 0.731 0.500
4 Au 0.769 0.269 0.500

[3]
Zr2CdTc: PBEsol geometry, SCAN.

Output
**Calculated total energy**: -31.84 eV per atom
**V**: 77 Å³/f.u.
**Formation energy from the elements**: -2.87 kcal/mol of atoms
**Space-group type**: Imm2

Cell lengths 5.645, 5.645, 5.645 Å; angles 144.94, 131.52, 61.22 degrees
Atoms (fractional coordinates):
1 Zr 0.000 0.000 0.000
2 Zr 0.726 0.226 0.500
3 Cd 0.452 0.452 0.000
4 Tc 0.214 0.714 0.500

[4]
CaIn3: PBEsol geometry, SCAN.

Output
**Calculated total energy**: -27.82 eV per atom
**V**: 101 Å³/f.u.
**Formation energy from the elements**: -8.52 kcal/mol of atoms
**Space-group type**: I4/mmm

Cell lengths 5.796, 5.796, 5.796 Å; angles 133.54, 133.54, 67.80 degrees
Atoms (fractional coordinates):
1 Ca 0.000 0.000 0.000
2 In 0.250 0.750 0.500
3 In 0.500 0.500 0.000
4 In 0.750 0.250 0.500

[5]
Zr2NiHg: PBEsol geometry, SCAN.

Output
**Calculated total energy**: -36.75 eV per atom
**V**: 73 Å³/f.u.
**Formation energy from the elements**: -7.34 kcal/mol of atoms
**Space-group type**: P4/mmm

Cell lengths 3.030, 3.030, 7.908 Å; angles 90.00, 90.00, 90.00 degrees
Atoms (fractional coordinates):
1 Zr 0.000 0.000 0.216
2 Zr 0.000 0.000 0.784
3 Ni 0.500 0.500 0.000
4 Hg 0.500 0.500 0.500

[6]
CrSn3Pd: PBEsol geometry, SCAN.

Output
**Calculated total energy**: -31.31 eV per atom
**V**: 117 Å³/f.u.
**Formation energy from the elements**: 10.94 kcal/mol of atoms
**Space-group type**: Pm-3m

Cell lengths 4.886, 4.886, 4.886 Å; angles 90.00, 90.00, 90.00 degrees
Atoms (fractional coordinates):
1 Cr 0.000 0.000 0.000
2 Sn 0.000 0.000 0.500
3 Sn 0.000 0.500 0.000
4 Sn 0.500 0.000 0.000
5 Pd 0.500 0.500 0.500

[7]
Cu2ReP: PBEsol geometry, SCAN.

Output
**Calculated total energy**: -27.69 eV per atom
**V**: 51 Å³/f.u.
**Formation energy from the elements**: 6.62 kcal/mol of atoms
**Space-group type**: R-3m

Cell lengths 8.259, 8.259, 8.259 Å; angles 18.79, 18.79, 18.79 degrees
Atoms (fractional coordinates):
1 Cu 0.245 0.245 0.245
2 Cu 0.755 0.755 0.755
3 Re 0.000 0.000 0.000
4 P 0.500 0.500 0.500

[8]
KWSeBr2: PBEsol geometry, SCAN.

Output
**ΔE_f (raw)**: 1.341 eV per atom
**Calculated total energy**: -26.06 eV per atom
**V**: 172 Å³/f.u.
**Space-group type**: P4/mmm

Cell lengths 5.537, 5.537, 5.625 Å; angles 90.00, 90.00, 90.00 degrees
Atoms (fractional coordinates):
1 K 0.000 0.000 0.000
2 W 0.500 0.500 0.500
3 Se 0.000 0.000 0.500
4 Br 0.000 0.500 0.000
5 Br 0.500 0.000 0.000

[9]
MoBr3: PBEsol geometry, SCAN.

Output
**ΔE_f (raw)**: -0.015 eV per atom
**Calculated total energy**: -23.33 eV per atom
**V**: 88 Å³/f.u.
**Space-group type**: R-3m

Cell lengths 9.710, 9.710, 9.710 Å; angles 19.37, 19.37, 19.37 degrees
Atoms (fractional coordinates):
1 Mo 0.000 0.000 0.000
2 Br 0.271 0.271 0.271
3 Br 0.500 0.500 0.500
4 Br 0.729 0.729 0.729

[10]
BaAlCl2: PBEsol geometry, SCAN.

Output
**Energy relative to the lowest polymorph listed for this composition**: 8.9 kJ/mol of atoms
**ΔE_f (raw)**: -1.175 eV per atom
**Calculated total energy**: -16.99 eV per atom
**V**: 127 Å³/f.u.
**Space-group type**: I-42d

Cell lengths 10.115, 10.115, 10.115 Å; angles 150.20, 150.20, 42.65 degrees
Atoms (fractional coordinates):
1 Ba 0.000 0.000 0.000
2 Ba 0.750 0.250 0.500
3 Al 0.250 0.750 0.500
4 Al 0.500 0.500 0.000
5 Cl 0.144 0.625 0.019
6 Cl 0.375 0.394 0.519
7 Cl 0.606 0.125 0.981
8 Cl 0.875 0.856 0.481

[11]
Li2SiCl: PBEsol geometry, SCAN.

Output
**Energy relative to the lowest polymorph listed for this composition**: 33.4 kJ/mol of atoms
**ΔE_f (raw)**: -0.396 eV per atom
**Calculated total energy**: -6.09 eV per atom
**V**: 67 Å³/f.u.
**Space-group type**: Pmm2

Cell lengths 4.480, 5.248, 2.869 Å; angles 90.00, 90.00, 90.00 degrees
Atoms (fractional coordinates):
1 Li 0.000 0.000 0.000
2 Li 0.500 0.500 0.002
3 Si 0.500 0.000 0.500
4 Cl 0.000 0.500 0.500

[12]
Bi3B7O12: PBEsol geometry, SCAN.

Output
**ΔE_f (raw)**: -2.122 eV per atom
**Calculated total energy**: -18.60 eV per atom
**V**: 282 Å³/f.u.
**Space-group type**: P-1

Cell lengths 6.924, 9.088, 9.399 Å; angles 95.89, 103.83, 97.12 degrees
Atoms (fractional coordinates):
1 Bi 0.011 0.338 0.004
2 Bi 0.131 0.053 0.180
3 Bi 0.341 0.779 0.257
4 Bi 0.659 0.221 0.743
5 Bi 0.869 0.947 0.820
6 Bi 0.989 0.662 0.996
7 B 0.136 0.251 0.695
8 B 0.152 0.714 0.515
9 B 0.192 0.311 0.457
10 B 0.296 0.526 0.800
11 B 0.315 0.067 0.860
12 B 0.415 0.801 0.904
13 B 0.495 0.325 0.324
14 B 0.505 0.675 0.676
15 B 0.585 0.199 0.096
16 B 0.685 0.933 0.140
17 B 0.704 0.474 0.200
18 B 0.808 0.689 0.543
19 B 0.848 0.286 0.485
20 B 0.864 0.749 0.305
21 O 0.011 0.665 0.589
22 O 0.081 0.760 0.378
23 O 0.154 0.116 0.769
24 O 0.190 0.388 0.811
25 O 0.251 0.253 0.587
26 O 0.274 0.655 0.885
27 O 0.292 0.918 0.867
28 O 0.309 0.341 0.364
29 O 0.354 0.723 0.557
30 O 0.423 0.533 0.712
31 O 0.443 0.211 0.187
32 O 0.477 0.174 0.936
33 O 0.523 0.826 0.064
34 O 0.557 0.789 0.813
35 O 0.577 0.467 0.288
36 O 0.646 0.277 0.443
37 O 0.691 0.659 0.636
38 O 0.708 0.082 0.133
39 O 0.726 0.345 0.115
40 O 0.749 0.747 0.413
41 O 0.810 0.612 0.189
42 O 0.846 0.884 0.231
43 O 0.919 0.240 0.622
44 O 0.989 0.335 0.411